SCAN CaInIr2, single point on PBEsol structure; VASP energy = -46.483 eV per atom; crystal system = orthorhombic
1.0
2.9313 0.0000 0.0000
0.0000 4.6994 0.0000
-1.4657 -2.3497 5.3019
Ca Ir In
1 2 1
Direct
0.4925 0.4925 0.9850 Ca
0.0108 0.0108 0.0216 Ir
0.7132 0.2132 0.4264 Ir
0.2835 0.7835 0.5670 In

SCAN KLaGa3, single point on PBEsol structure; VASP energy = -19.689 eV per atom; crystal system = cubic
1.0
-2.5696 -4.3781 -2.5481
-0.2012 -2.7668 4.9566
-5.0616 2.3325 1.0966
K Ga La
1 3 1
Direct
0.5000 0.5000 0.5000 K
0.0000 0.5000 0.0000 Ga
0.0000 0.0000 0.5000 Ga
0.5000 0.0000 0.0000 Ga
0.0000 0.0000 0.0000 La

What is the formula in the first record?
CaInIr2